{
  "formula": "NaMo2O7",
  "functional": "PBE with a Hubbard U",
  "state": "optimized geometry",
  "lattice_angstrom": [[3.8377, 0.0000, 0.0000], [0.0000, 6.0225, -0.1417], [0.0000, -2.7840, 5.3423]],
  "species": ["Na", "Mo", "Mo", "O", "O", "O", "O", "O", "O", "O"],
  "frac_coords": [[0.0000, 0.0000, 0.0000], [0.5000, 0.7009, 0.2991], [0.5000, 0.2991, 0.7009], [0.0000, 0.7028, 0.2972], [0.0000, 0.2972, 0.7028], [0.5000, 0.0530, 0.3329], [0.5000, 0.9470, 0.6671], [0.5000, 0.3329, 0.0530], [0.5000, 0.6671, 0.9470], [0.5000, 0.5000, 0.5000]],
  "final_energy_ev_per_atom": -6.3835,
  "sg": "Cmmm (65)"
}